{"formula": "LiTiCr2O", "functional": "PBE with a Hubbard U", "state": "relaxed", "e_tot_ev_per_cell": -31.5, "space_group": "No. 123", "dos_ef_per_ev_fu": 2.0, "crystal_system": "tetragonal", "lattice_angstrom": [[4.240, 0.000, 0.000], [0.000, 4.240, 0.000], [0.000, 0.000, 4.181]], "species": ["Li", "Ti", "Cr", "Cr", "O"], "fractional_positions": [[0.000, 0.000, 0.000], [0.500, 0.500, 0.000], [0.000, 0.500, 0.500], [0.500, 0.000, 0.500], [0.500, 0.500, 0.500]]}